[1]
LaCoN3: optimized geometry, PBE-GGA.

Output
raw formation energy = -326.6 meV per atom
crystal system = triclinic
N(E_F) = 3.25 states/eV/cell
symmetry = P1 (1)

```
5
Lattice="4.491 0.045 0.024 1.550 3.914 0.021 -0.424 -0.299 3.736" Properties=species:S:1:pos:R:3 pbc="T T T"
N 3.709 -0.016 2.544
N 2.653 2.829 0.928
N 3.562 3.477 0.365
Co 5.367 3.767 0.685
La 1.513 1.216 2.477
```



[2]
La3CoN: optimized geometry, PBE-GGA.

Output
raw formation energy = -308.4 meV per atom
crystal system = cubic
energy relative to the lowest polymorph listed for this composition = 0.0 meV per atom
N(E_F) = 5.42 states/eV/cell
symmetry = Pm-3m (221)

```
5
Lattice="-3.750 1.476 -2.946 -3.030 0.208 3.962 1.294 4.764 0.740" Properties=species:S:1:pos:R:3 pbc="T T T"
N 0.000 0.000 0.000
Co -2.743 3.224 0.878
La -1.515 0.104 1.981
La 0.647 2.382 0.370
La -1.875 0.738 -1.473
```



[3]
LaCoN3: optimized geometry, PBE-GGA.

Output
raw formation energy = -285.6 meV per atom
crystal system = monoclinic
N(E_F) = 11.19 states/eV/cell
symmetry = C2/c (15)

```
20
Lattice="-7.676 -10.364 0.847 -0.494 -4.900 4.513 1.471 4.898 4.299" Properties=species:S:1:pos:R:3 pbc="T T T"
N -3.332 -3.942 4.005
N -6.404 -6.707 4.344
N -3.368 -6.425 5.655
N -0.296 -3.659 5.315
N 0.001 -0.979 1.983
N -2.917 -4.206 6.765
N -6.701 -9.388 7.677
N -3.783 -6.161 2.894
N -7.235 -10.917 3.971
N -3.096 -4.632 7.975
N 0.536 0.550 5.689
N -3.604 -5.735 1.685
Co -4.857 -5.325 4.271
Co -1.842 -5.042 5.389
Co -4.572 -5.325 6.840
Co -2.127 -5.041 2.820
La -1.754 -2.173 3.652
La -0.839 -3.012 8.011
La -4.946 -8.193 6.007
La -5.861 -7.355 1.649
```



[4]
LaCoN3: optimized geometry, PBE-GGA.

Output
raw formation energy = -447.4 meV per atom
crystal system = triclinic
N(E_F) = 4.88 states/eV/cell
symmetry = P1 (1)

```
10
Lattice="3.864 -0.001 0.000 -0.057 5.366 -0.001 -1.309 1.284 6.539" Properties=species:S:1:pos:R:3 pbc="T T T"
N 2.743 3.732 0.689
N 2.167 1.974 2.795
N 0.218 2.500 5.166
N 0.874 2.156 6.108
N 0.122 3.709 0.694
N 0.341 4.711 3.254
Co -0.462 3.003 3.692
Co 1.466 3.552 2.073
La 2.131 5.515 4.537
La 0.168 0.965 1.446
```



[5]
LaCoN3: optimized geometry, PBE-GGA.

Output
raw formation energy = 281.9 meV per atom
crystal system = hexagonal
N(E_F) = 9.98 states/eV/cell
symmetry = P6_3/mmc (194)

```
10
Lattice="3.413 -1.971 0.000 0.000 3.941 0.000 0.000 0.000 10.529" Properties=species:S:1:pos:R:3 pbc="T T T"
N 0.000 0.000 2.632
N 0.000 0.000 7.896
N 1.138 1.971 9.610
N 1.138 1.971 6.183
N 2.276 0.000 4.346
N 2.276 0.000 0.919
Co 1.138 1.971 7.896
Co 2.276 0.000 2.632
La 0.000 0.000 0.000
La 0.000 0.000 5.264
```



[6]
LaCoN3: optimized geometry, PBE-GGA.

Output
raw formation energy = -424.3 meV per atom
crystal system = monoclinic
N(E_F) = 0.82 states/eV/cell
symmetry = Cm (8)

```
5
Lattice="4.089 -0.002 0.000 -2.045 3.501 0.063 0.001 0.736 5.494" Properties=species:S:1:pos:R:3 pbc="T T T"
N 1.127 3.131 3.427
N -0.310 3.447 0.589
N -1.526 3.448 0.588
Co 1.127 3.300 1.674
La 3.171 1.978 4.074
```



[7]
LaCoN3: optimized geometry, PBE-GGA.

Output
raw formation energy = -382.0 meV per atom
crystal system = triclinic
N(E_F) = 4.24 states/eV/cell
symmetry = P1 (1)

```
10
Lattice="-3.256 -2.848 -2.618 -0.737 -4.739 2.380 -3.771 0.421 4.615" Properties=species:S:1:pos:R:3 pbc="T T T"
N -4.377 -2.191 0.745
N -1.710 -5.199 2.210
N -1.610 -2.379 2.323
N -5.282 -5.121 0.858
N -3.862 -3.026 1.476
N -6.030 -3.862 3.958
Co -0.577 -1.679 1.072
Co -2.132 -3.771 1.129
La -3.591 -4.333 3.724
La -5.918 -1.616 2.782
```



[8]
LaCoN3: optimized geometry, PBE-GGA.

Output
raw formation energy = -458.7 meV per atom
crystal system = tetragonal
N(E_F) = 5.69 states/eV/cell
symmetry = I-4m2 (119)

```
10
Lattice="-0.392 2.083 3.264 -0.232 -3.288 2.070 9.018 -2.653 0.456" Properties=species:S:1:pos:R:3 pbc="T T T"
N 0.516 -1.073 0.817
N 2.716 -2.518 3.589
N 0.248 0.349 3.046
N 2.790 -1.475 2.933
N 5.955 -3.629 4.685
N 6.082 -3.027 1.996
Co 1.626 -0.358 2.078
Co 5.979 -1.986 3.639
La 4.631 -1.389 0.776
La 7.718 -4.665 3.237
```



[9]
LaCoN3: optimized geometry, PBE-GGA.

Output
raw formation energy = -348.4 meV per atom
crystal system = monoclinic
N(E_F) = 2.04 states/eV/cell
symmetry = Pm (6)

```
5
Lattice="5.825 -0.003 -0.021 -1.379 4.140 0.008 -2.589 -0.864 2.770" Properties=species:S:1:pos:R:3 pbc="T T T"
N 3.575 -0.211 1.457
N -0.860 3.370 1.171
N -0.145 2.425 1.535
Co 3.658 3.912 0.095
La 1.952 1.385 0.442
```



[10]
LaCoN3: optimized geometry, PBE-GGA.

Output
raw formation energy = 550.3 meV per atom
crystal system = hexagonal
N(E_F) = 6.80 states/eV/cell
symmetry = P6_3/mmc (194)

```
10
Lattice="3.390 -1.957 0.000 0.000 3.914 0.000 0.000 0.000 8.869" Properties=species:S:1:pos:R:3 pbc="T T T"
N 0.000 0.000 2.217
N 0.000 0.000 6.652
N 1.130 1.957 0.308
N 1.130 1.957 4.126
N 2.260 0.000 4.743
N 2.260 0.000 8.561
Co 0.000 0.000 0.000
Co 0.000 0.000 4.435
La 1.130 1.957 6.652
La 2.260 0.000 2.217
```



[11]
LaCoN3: optimized geometry, PBE-GGA.

Output
raw formation energy = -322.2 meV per atom
crystal system = triclinic
N(E_F) = 3.84 states/eV/cell
symmetry = P1 (1)

```
10
Lattice="4.138 0.021 -0.051 1.478 6.276 -0.067 1.946 1.370 5.827" Properties=species:S:1:pos:R:3 pbc="T T T"
N 4.533 5.137 5.455
N 3.350 5.647 2.596
N 2.379 3.024 5.013
N 2.065 1.737 5.134
N 2.145 3.937 0.670
N 4.502 1.894 2.406
Co 3.381 1.986 3.745
Co 1.361 0.850 3.590
La 5.380 4.427 3.059
La 2.269 1.040 0.883
```



[12]
LaCoN3: optimized geometry, PBE-GGA.

Output
raw formation energy = -464.9 meV per atom
crystal system = monoclinic
N(E_F) = 10.12 states/eV/cell
symmetry = C2/c (15)

```
20
Lattice="9.394 0.000 1.016 3.606 5.328 -2.241 -3.606 5.328 2.241" Properties=species:S:1:pos:R:3 pbc="T T T"
N 4.041 4.094 -0.236
N 4.261 4.094 -1.497
N 5.353 6.562 1.252
N 5.132 6.562 2.513
N 1.682 2.777 -0.501
N 3.015 8.104 1.009
N 7.712 7.879 1.517
N 6.379 2.551 0.007
N 2.518 5.042 2.031
N 7.968 5.042 1.734
N 6.876 5.614 -1.015
N 1.426 5.614 -0.718
Co 2.263 4.376 0.373
Co 2.434 9.704 0.135
Co 7.131 6.280 0.643
Co 6.960 0.952 0.882
La 5.243 4.018 1.883
La 4.151 6.638 -0.866
La 8.848 3.971 -0.358
La 0.546 6.685 1.375
```



[13]
LaCoN3: optimized geometry, PBE-GGA.

Output
raw formation energy = -445.3 meV per atom
crystal system = triclinic
N(E_F) = 0.00 states/eV/cell
symmetry = P1 (1)

```
10
Lattice="-7.089 0.934 2.463 3.583 -0.949 3.606 -0.682 4.177 2.826" Properties=species:S:1:pos:R:3 pbc="T T T"
N -5.847 3.880 4.469
N 3.098 -0.197 3.865
N -2.737 4.252 5.466
N -2.781 0.794 3.299
N -5.646 2.847 5.078
N 0.046 2.856 5.316
Co -1.266 3.931 4.675
Co 1.535 0.245 2.892
La 2.222 1.721 5.402
La -1.651 1.202 6.015
```



[14]
LaCoN3: optimized geometry, PBE-GGA.

Output
raw formation energy = -407.6 meV per atom
crystal system = triclinic
N(E_F) = 2.61 states/eV/cell
symmetry = P1 (1)

```
10
Lattice="-3.235 -2.227 -1.419 -0.803 -1.051 3.474 -3.134 8.360 0.499" Properties=species:S:1:pos:R:3 pbc="T T T"
N -6.054 5.917 0.310
N -2.440 2.157 0.077
N -2.818 -1.323 0.310
N -3.128 0.362 2.542
N -5.057 3.562 1.828
N -3.102 5.328 0.833
Co -2.777 0.435 0.670
Co -4.777 4.519 0.200
La -2.545 3.506 2.380
La -4.348 6.221 2.813
```



[15]
LaCoN3: optimized geometry, PBE-GGA.

Output
raw formation energy = -469.6 meV per atom
crystal system = triclinic
N(E_F) = 0.00 states/eV/cell
symmetry = P1 (1)

```
10
Lattice="6.867 -0.001 -0.007 -1.890 4.534 0.002 0.877 1.538 5.027" Properties=species:S:1:pos:R:3 pbc="T T T"
N 4.070 1.493 2.469
N -0.665 4.528 0.807
N 3.436 3.970 4.424
N 4.488 4.461 4.039
N 5.160 1.900 2.057
N 1.275 2.698 2.053
Co 1.438 1.686 0.454
Co -0.493 2.956 1.472
La -0.061 5.292 3.314
La 3.308 3.816 1.576
```



[16]
LaCoN3: optimized geometry, PBE-GGA.

Output
raw formation energy = -222.9 meV per atom
crystal system = monoclinic
N(E_F) = 6.77 states/eV/cell
symmetry = C2/m (12)

```
10
Lattice="15.359 0.000 -0.770 5.796 1.936 -2.672 -5.796 1.936 2.672" Properties=species:S:1:pos:R:3 pbc="T T T"
N 8.982 1.936 1.734
N 6.377 1.936 -2.504
N 12.969 1.936 0.024
N 2.390 1.936 -0.794
N 9.438 1.936 -1.636
N 5.921 1.936 0.866
Co 18.782 1.936 -3.075
Co -3.423 1.936 2.305
La 15.619 1.936 -3.055
La -0.260 1.936 2.286
```



[17]
LaCoN3: optimized geometry, PBE-GGA.

Output
raw formation energy = -472.7 meV per atom
crystal system = triclinic
N(E_F) = 0.00 states/eV/cell
symmetry = P1 (1)

```
10
Lattice="4.177 0.001 -0.001 -1.647 8.264 0.005 2.108 -2.813 4.607" Properties=species:S:1:pos:R:3 pbc="T T T"
N 2.293 -2.117 4.023
N 0.048 6.378 0.776
N 3.542 5.723 1.526
N 2.509 1.112 3.324
N 0.382 4.998 3.913
N 0.390 2.785 1.554
Co 2.479 -0.489 4.370
Co 0.214 4.408 0.546
La 2.498 3.512 2.677
La 4.578 0.447 2.255
```



[18]
La12Co3N5: optimized geometry, PBE-GGA.

Output
raw formation energy = -589.0 meV per atom
crystal system = cubic
N(E_F) = 71.98 states/eV/cell
symmetry = Ia-3d (230)

```
80
Lattice="-12.312 -2.546 -5.538 -0.070 -3.717 13.226 2.771 13.421 -0.970" Properties=species:S:1:pos:R:3 pbc="T T T"
Co -8.914 -1.626 0.685
Co -10.479 -3.338 4.952
Co -2.938 4.645 7.236
Co -2.048 3.932 -0.095
Co -10.089 0.663 -3.435
Co -3.968 0.077 5.947
Co -5.643 7.080 0.771
Co 0.478 6.495 10.153
Co -7.564 3.226 6.813
Co -6.674 2.512 -0.519
Co 0.868 10.496 1.765
Co -0.697 8.784 6.033
N -0.873 1.643 4.025
N -0.035 -1.859 6.613
N 0.000 0.000 0.000
N -4.288 -0.206 1.108
N -4.771 5.437 -3.254
N -6.191 -3.132 3.844
N -0.553 1.927 8.863
N -6.818 9.369 -3.349
N -8.239 0.800 3.749
N -2.548 8.646 -1.151
N -7.064 -1.489 7.869
N -4.806 3.579 3.359
N -6.156 -1.273 -2.769
N 1.385 6.710 -0.485
N -1.373 6.358 2.969
N -2.793 -2.211 10.067
N 1.350 4.852 6.128
N -9.059 5.231 -2.146
N -5.323 7.364 5.609
N -8.739 5.515 2.693
La -8.642 -1.894 -2.340
La -2.846 2.671 4.802
La -11.200 0.043 -0.664
La -6.163 -0.486 -0.294
La -5.380 5.013 5.447
La -11.526 -2.265 2.297
La -2.842 1.795 8.315
La -0.892 -2.012 11.446
La -5.502 4.002 8.921
La -8.248 -1.556 3.660
La -8.745 1.307 1.503
La -10.079 -5.095 7.412
La -0.082 4.131 8.171
La -4.455 -1.317 3.181
La -0.074 1.500 11.132
La -3.458 6.475 -1.267
La -0.498 1.890 1.711
La -5.614 -2.467 6.288
La -9.342 -1.554 7.265
La -1.258 -0.579 4.712
La -2.537 6.057 10.006
La -6.216 1.733 4.521
La -9.747 1.716 5.312
La -7.251 9.060 -1.053
La -3.395 5.425 2.197
La 0.136 5.441 1.406
La -2.360 -1.902 7.770
La -0.270 8.711 -0.548
La -7.075 1.100 -3.289
La -8.353 7.736 2.006
La -3.997 9.625 0.430
La -6.154 0.683 7.985
La -9.113 5.267 5.007
La -9.538 5.658 -4.414
La -9.530 3.027 -1.454
La 0.467 12.253 -0.694
La -5.157 8.474 3.536
La -4.109 3.156 -2.204
La -1.364 8.713 3.058
La -0.867 5.851 5.215
La -8.719 9.170 -4.729
La -6.770 5.363 -1.597
La -3.449 7.643 7.011
La 1.914 9.422 4.421
La -4.232 2.145 1.270
La 1.588 7.115 7.381
La -6.765 4.486 1.915
La -0.970 9.051 9.058
```



[19]
LaCoN3: optimized geometry, PBE-GGA.

Output
raw formation energy = -333.2 meV per atom
crystal system = monoclinic
N(E_F) = 8.60 states/eV/cell
symmetry = P2_1/c (14)

```
20
Lattice="-12.234 7.512 -3.047 -2.886 -3.839 2.123 2.809 -0.194 3.469" Properties=species:S:1:pos:R:3 pbc="T T T"
N -6.702 -0.864 1.742
N -5.608 4.343 0.802
N -2.085 -0.898 1.466
N -10.225 4.377 1.079
N -4.730 1.463 1.564
N -7.580 2.016 0.980
N -0.993 -3.079 4.925
N -11.317 6.558 -2.381
N -8.742 1.771 0.482
N -3.568 1.708 2.062
N -10.833 5.902 -1.384
N -1.477 -2.423 3.929
Co -6.731 0.979 2.340
Co -5.579 2.501 0.204
Co -10.282 6.171 0.409
Co -2.028 -2.692 2.135
La -0.598 0.038 3.032
La -11.713 3.441 -0.488
La -4.426 -0.724 2.943
La -7.884 4.203 -0.398
```